{"formula": "NdSmH2", "functional": "PBE", "state": "relaxed", "cell": [[3.6115, 0.0000, 0.0000], [-1.8057, 3.1276, 0.0000], [0.0000, 0.0000, 18.2195]], "species": ["Nd", "Nd", "Nd", "Sm", "Sm", "Sm", "H", "H", "H", "H", "H", "H"], "frac_coords": [[0.0000, 0.0000, 0.0000], [0.3333, 0.6667, 0.6667], [0.6667, 0.3333, 0.3333], [0.0000, 0.0000, 0.8216], [0.3333, 0.6667, 0.4883], [0.6667, 0.3333, 0.1550], [0.0000, 0.0000, 0.2304], [0.0000, 0.0000, 0.4138], [0.3333, 0.6667, 0.0804], [0.3333, 0.6667, 0.8971], [0.6667, 0.3333, 0.5637], [0.6667, 0.3333, 0.7471]], "relative_energy_mev_per_atom": 99, "spacegroup": "No. 160", "dft_energy_ev_per_atom": -4.344, "m_tot_mub_per_cell": 0.00, "dos_ef_per_ev_fu": 1.81}

***

{"formula": "NdSm2H6", "functional": "PBE", "state": "relaxed", "cell": [[-1.9098, 1.9098, 8.1064], [1.9098, -1.9098, 8.1064], [1.9098, 1.9098, -8.1064]], "species": ["Nd", "Sm", "Sm", "H", "H", "H", "H", "H", "H"], "frac_coords": [[0.0000, 0.0000, 0.0000], [0.3324, 0.3324, 0.0000], [0.6676, 0.6676, 0.0000], [0.0858, 0.5858, 0.5000], [0.2500, 0.7500, 0.5000], [0.4142, 0.9142, 0.5000], [0.5858, 0.0858, 0.5000], [0.7500, 0.2500, 0.5000], [0.9142, 0.4142, 0.5000]], "spacegroup": "No. 139", "dft_energy_ev_per_atom": -4.478, "m_tot_mub_per_cell": 0.00, "dos_ef_per_ev_fu": 2.50}

***

{"formula": "Nd2SmH", "functional": "PBE", "state": "relaxed", "cell": [[3.4530, 0.0000, 0.0000], [0.0000, 3.4530, 0.0000], [0.0000, 0.0000, 8.7254]], "species": ["Nd", "Nd", "Sm", "H"], "frac_coords": [[0.0000, 0.0000, 0.1885], [0.0000, 0.0000, 0.8115], [0.5000, 0.5000, 0.5000], [0.5000, 0.5000, 0.0000]], "relative_energy_mev_per_atom": 254, "spacegroup": "No. 123", "dft_energy_ev_per_atom": -4.306, "m_tot_mub_per_cell": 0.00, "dos_ef_per_ev_fu": 3.77}

***

{"formula": "Nd2SmH", "functional": "PBE", "state": "relaxed", "cell": [[3.6963, 0.0000, 0.0000], [-1.8481, 3.2011, 0.0000], [0.0000, 0.0000, 26.6113]], "species": ["Nd", "Nd", "Nd", "Nd", "Nd", "Nd", "Sm", "Sm", "Sm", "H", "H", "H"], "frac_coords": [[0.0000, 0.0000, 0.0000], [0.0000, 0.0000, 0.2234], [0.3333, 0.6667, 0.6667], [0.3333, 0.6667, 0.8901], [0.6667, 0.3333, 0.3333], [0.6667, 0.3333, 0.5567], [0.0000, 0.0000, 0.7776], [0.3333, 0.6667, 0.4442], [0.6667, 0.3333, 0.1109], [0.0000, 0.0000, 0.6114], [0.3333, 0.6667, 0.2781], [0.6667, 0.3333, 0.9448]], "relative_energy_mev_per_atom": 10, "spacegroup": "No. 160", "dft_energy_ev_per_atom": -4.550, "m_tot_mub_per_cell": 0.00, "dos_ef_per_ev_fu": 4.73}

***

{"formula": "NdSmH4", "functional": "PBE", "state": "relaxed", "cell": [[3.8320, 0.0000, 0.0000], [0.0000, 3.8320, 0.0000], [0.0000, 0.0000, 5.4226]], "species": ["Nd", "Sm", "H", "H", "H", "H"], "frac_coords": [[0.0000, 0.0000, 0.0000], [0.5000, 0.5000, 0.5000], [0.0000, 0.5000, 0.2557], [0.0000, 0.5000, 0.7443], [0.5000, 0.0000, 0.2557], [0.5000, 0.0000, 0.7443]], "spacegroup": "No. 123", "dft_energy_ev_per_atom": -4.479, "m_tot_mub_per_cell": 0.00, "dos_ef_per_ev_fu": 1.73}

***

{"formula": "NdSmH2", "functional": "PBE", "state": "relaxed", "cell": [[3.6009, 0.0000, 0.0000], [-1.8004, 3.1184, 0.0000], [0.0000, 0.0000, 17.6293]], "species": ["Nd", "Nd", "Nd", "Sm", "Sm", "Sm", "H", "H", "H", "H", "H", "H"], "frac_coords": [[0.0000, 0.0000, 0.0000], [0.3333, 0.6667, 0.6667], [0.6667, 0.3333, 0.3333], [0.0000, 0.0000, 0.5000], [0.3333, 0.6667, 0.1667], [0.6667, 0.3333, 0.8333], [0.0000, 0.0000, 0.2481], [0.0000, 0.0000, 0.7519], [0.3333, 0.6667, 0.4186], [0.3333, 0.6667, 0.9147], [0.6667, 0.3333, 0.0853], [0.6667, 0.3333, 0.5814]], "relative_energy_mev_per_atom": 0, "spacegroup": "No. 166", "dft_energy_ev_per_atom": -4.443, "m_tot_mub_per_cell": 0.00, "dos_ef_per_ev_fu": 2.40}

***

{"formula": "Nd4SmH10", "functional": "PBE", "state": "relaxed", "cell": [[1.9274, 1.1128, 15.7500], [-1.9274, 1.1128, 15.7500], [0.0000, -2.2256, 15.7500]], "species": ["Nd", "Nd", "Nd", "Nd", "Sm", "H", "H", "H", "H", "H", "H", "H", "H", "H", "H"], "frac_coords": [[0.1006, 0.1006, 0.1006], [0.2998, 0.2998, 0.2998], [0.7002, 0.7002, 0.7002], [0.8994, 0.8994, 0.8994], [0.5000, 0.5000, 0.5000], [0.0504, 0.0504, 0.0504], [0.1509, 0.1509, 0.1509], [0.2497, 0.2497, 0.2497], [0.3500, 0.3500, 0.3500], [0.4509, 0.4509, 0.4509], [0.5491, 0.5491, 0.5491], [0.6500, 0.6500, 0.6500], [0.7503, 0.7503, 0.7503], [0.8491, 0.8491, 0.8491], [0.9496, 0.9496, 0.9496]], "spacegroup": "No. 166", "dft_energy_ev_per_atom": -4.473, "m_tot_mub_per_cell": 0.00, "dos_ef_per_ev_fu": 5.54}

***

{"formula": "Nd4Sm2Sn3H2", "functional": "PBE", "state": "relaxed", "cell": [[-2.3974, 2.3974, 12.9032], [2.3974, -2.3974, 12.9032], [2.3974, 2.3974, -12.9032]], "species": ["Nd", "Nd", "Nd", "Nd", "Sm", "Sm", "Sn", "Sn", "Sn", "H", "H"], "frac_coords": [[0.0834, 0.5834, 0.5000], [0.4166, 0.9166, 0.5000], [0.5834, 0.0834, 0.5000], [0.9166, 0.4166, 0.5000], [0.1998, 0.1998, 0.0000], [0.8002, 0.8002, 0.0000], [0.3242, 0.3242, 0.0000], [0.5000, 0.5000, 0.0000], [0.6758, 0.6758, 0.0000], [0.1050, 0.1050, 0.0000], [0.8950, 0.8950, 0.0000]], "spacegroup": "No. 139", "dft_energy_ev_per_atom": -4.841, "m_tot_mub_per_cell": 0.00, "dos_ef_per_ev_fu": 10.78}

***

{"formula": "TbNdSm2H", "functional": "PBE", "state": "relaxed", "cell": [[5.0997, 0.0000, 0.0000], [0.0000, 5.0997, 0.0000], [0.0000, 0.0000, 5.0868]], "species": ["Tb", "Nd", "Sm", "Sm", "H"], "frac_coords": [[0.0000, 0.0000, 0.0000], [0.5000, 0.5000, 0.0000], [0.0000, 0.5000, 0.5000], [0.5000, 0.0000, 0.5000], [0.0000, 0.0000, 0.5000]], "spacegroup": "No. 123", "dft_energy_ev_per_atom": -4.612, "m_tot_mub_per_cell": 0.00, "dos_ef_per_ev_fu": 4.58}

***

{"formula": "Tb2NdSmH", "functional": "PBE", "state": "relaxed", "cell": [[5.0665, 0.0000, 0.0000], [0.0000, 5.0665, 0.0000], [0.0000, 0.0000, 5.0774]], "species": ["Tb", "Tb", "Nd", "Sm", "H"], "frac_coords": [[0.0000, 0.5000, 0.0000], [0.5000, 0.0000, 0.0000], [0.0000, 0.0000, 0.5000], [0.5000, 0.5000, 0.5000], [0.5000, 0.5000, 0.0000]], "spacegroup": "No. 123", "dft_energy_ev_per_atom": -4.592, "m_tot_mub_per_cell": 0.00, "dos_ef_per_ev_fu": 4.78}

***

{"formula": "Nd4Sm2Tl3H2", "functional": "PBE", "state": "relaxed", "cell": [[-2.4355, 2.4355, 12.7046], [2.4355, -2.4355, 12.7046], [2.4355, 2.4355, -12.7046]], "species": ["Nd", "Nd", "Nd", "Nd", "Sm", "Sm", "Tl", "Tl", "Tl", "H", "H"], "frac_coords": [[0.0855, 0.5855, 0.5000], [0.4145, 0.9145, 0.5000], [0.5855, 0.0855, 0.5000], [0.9145, 0.4145, 0.5000], [0.1998, 0.1998, 0.0000], [0.8002, 0.8002, 0.0000], [0.3249, 0.3249, 0.0000], [0.5000, 0.5000, 0.0000], [0.6751, 0.6751, 0.0000], [0.1056, 0.1056, 0.0000], [0.8944, 0.8944, 0.0000]], "spacegroup": "No. 139", "dft_energy_ev_per_atom": -4.130, "m_tot_mub_per_cell": 0.00, "dos_ef_per_ev_fu": 9.35}

***

{"formula": "Nd2SmYH", "functional": "PBE", "state": "relaxed", "cell": [[5.1442, 0.0000, 0.0000], [0.0000, 5.1442, 0.0000], [0.0000, 0.0000, 5.0775]], "species": ["Nd", "Nd", "Sm", "Y", "H"], "frac_coords": [[0.0000, 0.5000, 0.0000], [0.5000, 0.0000, 0.0000], [0.0000, 0.0000, 0.5000], [0.5000, 0.5000, 0.5000], [0.5000, 0.5000, 0.0000]], "spacegroup": "No. 123", "dft_energy_ev_per_atom": -4.987, "m_tot_mub_per_cell": 0.00, "dos_ef_per_ev_fu": 4.48}

***

{"formula": "Nd2SnH", "functional": "PBE", "state": "relaxed", "cell": [[4.3981, 0.0000, 0.0000], [-2.1990, 3.8089, 0.0000], [0.0000, 0.0000, 18.4283]], "species": ["Nd", "Nd", "Nd", "Nd", "Nd", "Nd", "Sn", "Sn", "Sn", "H", "H", "H"], "frac_coords": [[0.0000, 0.0000, 0.2380], [0.0000, 0.0000, 0.7620], [0.3333, 0.6667, 0.4287], [0.3333, 0.6667, 0.9046], [0.6667, 0.3333, 0.0954], [0.6667, 0.3333, 0.5713], [0.0000, 0.0000, 0.0000], [0.3333, 0.6667, 0.6667], [0.6667, 0.3333, 0.3333], [0.0000, 0.0000, 0.5000], [0.3333, 0.6667, 0.1667], [0.6667, 0.3333, 0.8333]], "relative_energy_mev_per_atom": 247, "spacegroup": "No. 166", "dft_energy_ev_per_atom": -4.591, "m_tot_mub_per_cell": 0.01, "dos_ef_per_ev_fu": 3.51}

***

{"formula": "Nd4SnH", "functional": "PBE", "state": "relaxed", "cell": [[6.1123, 0.0000, 0.0000], [-0.0049, 7.3724, 0.0000], [-3.0432, -2.4420, 7.2302]], "species": ["Nd", "Nd", "Nd", "Nd", "Nd", "Nd", "Nd", "Nd", "Sn", "Sn", "H", "H"], "frac_coords": [[0.0126, 0.4509, 0.1966], [0.1843, 0.9502, 0.1964], [0.2330, 0.8499, 0.6411], [0.4073, 0.3494, 0.6408], [0.5927, 0.6506, 0.3592], [0.7670, 0.1501, 0.3589], [0.8157, 0.0498, 0.8036], [0.9874, 0.5491, 0.8034], [0.3874, 0.2501, 0.0003], [0.6126, 0.7499, 0.9997], [0.0000, 0.5000, 0.5000], [0.5000, 0.0000, 0.5000]], "spacegroup": "No. 2", "dft_energy_ev_per_atom": -4.705, "m_tot_mub_per_cell": 0.00, "dos_ef_per_ev_fu": 6.01}

***

{"formula": "Nd4Sn2H", "functional": "PBE", "state": "relaxed", "cell": [[6.4900, 0.0000, 0.0000], [0.0000, 6.6787, 0.0000], [-3.2337, 0.0000, 8.9829]], "species": ["Nd", "Nd", "Nd", "Nd", "Nd", "Nd", "Nd", "Nd", "Sn", "Sn", "Sn", "Sn", "H", "H"], "frac_coords": [[0.0337, 0.0010, 0.2883], [0.0337, 0.4990, 0.2883], [0.3770, 0.2500, 0.0618], [0.4325, 0.2500, 0.6466], [0.5675, 0.7500, 0.3534], [0.6230, 0.7500, 0.9382], [0.9663, 0.5010, 0.7117], [0.9663, 0.9990, 0.7117], [0.1887, 0.7500, 0.0351], [0.3292, 0.7500, 0.5952], [0.6708, 0.2500, 0.4048], [0.8113, 0.2500, 0.9649], [0.2209, 0.2500, 0.8022], [0.7791, 0.7500, 0.1978]], "relative_energy_mev_per_atom": 7, "spacegroup": "No. 11", "dft_energy_ev_per_atom": -4.953, "m_tot_mub_per_cell": 0.00, "dos_ef_per_ev_fu": 6.06}

***

{"formula": "Nd2SnH", "functional": "PBE", "state": "relaxed", "cell": [[4.1725, 0.0000, 0.0000], [0.0000, 4.1725, 0.0000], [0.0000, 0.0000, 10.7329]], "species": ["Nd", "Nd", "Nd", "Nd", "Sn", "Sn", "H", "H"], "frac_coords": [[0.0000, 0.0000, 0.1522], [0.0000, 0.0000, 0.8478], [0.5000, 0.5000, 0.3478], [0.5000, 0.5000, 0.6522], [0.0000, 0.0000, 0.5000], [0.5000, 0.5000, 0.0000], [0.0000, 0.5000, 0.2500], [0.5000, 0.0000, 0.7500]], "relative_energy_mev_per_atom": 0, "spacegroup": "No. 119", "dft_energy_ev_per_atom": -4.838, "m_tot_mub_per_cell": 1.60, "dos_ef_per_ev_fu": 2.00}

***

{"formula": "Nd12Sn3H5", "functional": "PBE", "state": "relaxed", "cell": [[-8.0920, 8.0920, 8.0920], [8.0920, -8.0920, 8.0920], [8.0920, 8.0920, -8.0920]], "species": ["Nd", "Nd", "Nd", "Nd", "Nd", "Nd", "Nd", "Nd", "Nd", "Nd", "Nd", "Nd", "Nd", "Nd", "Nd", "Nd", "Nd", "Nd", "Nd", "Nd", "Nd", "Nd", "Nd", "Nd", "Nd", "Nd", "Nd", "Nd", "Nd", "Nd", "Nd", "Nd", "Nd", "Nd", "Nd", "Nd", "Nd", "Nd", "Nd", "Nd", "Nd", "Nd", "Nd", "Nd", "Nd", "Nd", "Nd", "Nd", "Sn", "Sn", "Sn", "Sn", "Sn", "Sn", "Sn", "Sn", "Sn", "Sn", "Sn", "Sn", "H", "H", "H", "H", "H", "H", "H", "H", "H", "H", "H", "H", "H", "H", "H", "H", "H", "H", "H", "H"], "frac_coords": [[0.0157, 0.2068, 0.1105], [0.0157, 0.3089, 0.9052], [0.0948, 0.6105, 0.4037], [0.0948, 0.9843, 0.6911], [0.0963, 0.7068, 0.6911], [0.0963, 0.8895, 0.4052], [0.1105, 0.0157, 0.2068], [0.1105, 0.5948, 0.9037], [0.1911, 0.2068, 0.5963], [0.1911, 0.4843, 0.5948], [0.2068, 0.1105, 0.0157], [0.2068, 0.5963, 0.1911], [0.2932, 0.3089, 0.9037], [0.2932, 0.4843, 0.3895], [0.3089, 0.9037, 0.2932], [0.3089, 0.9052, 0.0157], [0.3895, 0.2932, 0.4843], [0.3895, 0.5963, 0.9052], [0.4037, 0.0948, 0.6105], [0.4037, 0.8089, 0.7932], [0.4052, 0.0963, 0.8895], [0.4052, 0.8089, 0.5157], [0.4843, 0.3895, 0.2932], [0.4843, 0.5948, 0.1911], [0.5157, 0.4052, 0.8089], [0.5157, 0.6105, 0.7068], [0.5948, 0.1911, 0.4843], [0.5948, 0.9037, 0.1105], [0.5963, 0.1911, 0.2068], [0.5963, 0.9052, 0.3895], [0.6105, 0.4037, 0.0948], [0.6105, 0.7068, 0.5157], [0.6911, 0.0948, 0.9843], [0.6911, 0.0963, 0.7068], [0.7068, 0.5157, 0.6105], [0.7068, 0.6911, 0.0963], [0.7932, 0.4037, 0.8089], [0.7932, 0.8895, 0.9843], [0.8089, 0.5157, 0.4052], [0.8089, 0.7932, 0.4037], [0.8895, 0.4052, 0.0963], [0.8895, 0.9843, 0.7932], [0.9037, 0.1105, 0.5948], [0.9037, 0.2932, 0.3089], [0.9052, 0.0157, 0.3089], [0.9052, 0.3895, 0.5963], [0.9843, 0.6911, 0.0948], [0.9843, 0.7932, 0.8895], [0.1250, 0.2500, 0.3750], [0.1250, 0.3750, 0.7500], [0.2500, 0.3750, 0.1250], [0.2500, 0.8750, 0.6250], [0.3750, 0.1250, 0.2500], [0.3750, 0.7500, 0.1250], [0.6250, 0.2500, 0.8750], [0.6250, 0.8750, 0.7500], [0.7500, 0.1250, 0.3750], [0.7500, 0.6250, 0.8750], [0.8750, 0.6250, 0.2500], [0.8750, 0.7500, 0.6250], [0.0000, 0.0000, 0.0000], [0.0000, 0.0000, 0.5000], [0.0000, 0.5000, 0.0000], [0.0000, 0.5000, 0.5000], [0.1250, 0.7500, 0.8750], [0.1250, 0.8750, 0.2500], [0.2500, 0.1250, 0.8750], [0.2500, 0.6250, 0.3750], [0.3750, 0.2500, 0.6250], [0.3750, 0.6250, 0.7500], [0.5000, 0.0000, 0.0000], [0.5000, 0.0000, 0.5000], [0.5000, 0.5000, 0.0000], [0.5000, 0.5000, 0.5000], [0.6250, 0.3750, 0.2500], [0.6250, 0.7500, 0.3750], [0.7500, 0.3750, 0.6250], [0.7500, 0.8750, 0.1250], [0.8750, 0.1250, 0.7500], [0.8750, 0.2500, 0.1250]], "spacegroup": "No. 230", "dft_energy_ev_per_atom": -4.640, "m_tot_mub_per_cell": 0.00, "dos_ef_per_ev_fu": 14.54}

***

{"formula": "Nd2SnH", "functional": "PBE", "state": "relaxed", "cell": [[3.4522, 0.0000, 0.0000], [0.0000, 3.4522, 0.0000], [0.0000, 0.0000, 7.7857]], "species": ["Nd", "Nd", "Sn", "H"], "frac_coords": [[0.0000, 0.0000, 0.2185], [0.0000, 0.0000, 0.7815], [0.5000, 0.5000, 0.5000], [0.5000, 0.5000, 0.0000]], "relative_energy_mev_per_atom": 356, "spacegroup": "No. 123", "dft_energy_ev_per_atom": -4.481, "m_tot_mub_per_cell": 0.00, "dos_ef_per_ev_fu": 3.17}

***

{"formula": "Nd2SnH", "functional": "PBE", "state": "relaxed", "cell": [[4.9790, 0.0000, 0.0000], [0.0000, 17.3337, 0.0000], [0.0000, 0.0000, 4.3317]], "species": ["Nd", "Nd", "Nd", "Nd", "Nd", "Nd", "Nd", "Nd", "Sn", "Sn", "Sn", "Sn", "H", "H", "H", "H"], "frac_coords": [[0.0000, 0.0000, 0.0000], [0.0000, 0.1822, 0.5000], [0.0000, 0.5000, 0.5000], [0.0000, 0.8178, 0.5000], [0.5000, 0.0000, 0.5000], [0.5000, 0.3178, 0.5000], [0.5000, 0.5000, 0.0000], [0.5000, 0.6822, 0.5000], [0.0000, 0.3519, 0.0000], [0.0000, 0.6481, 0.0000], [0.5000, 0.1481, 0.0000], [0.5000, 0.8519, 0.0000], [0.0000, 0.0548, 0.5000], [0.0000, 0.9452, 0.5000], [0.5000, 0.4452, 0.5000], [0.5000, 0.5548, 0.5000]], "relative_energy_mev_per_atom": 44, "spacegroup": "No. 65", "dft_energy_ev_per_atom": -4.793, "m_tot_mub_per_cell": 0.00, "dos_ef_per_ev_fu": 2.62}